Record 1
Computed, not measured: a geometry-optimized KUBeSe3 structure at the PBE level of DFT.

Properties
Total moment: 0.50 μB per atom
Uncorrected formation energy: -1032 meV per atom

a b c (Å): 9.4522 3.9486 9.5246
angles (deg): 90.00 109.24 90.00
Space group P2_1/m (No. 11)
Asymmetric unit:
K1 0.1983 0.2500 0.2337 [2 per cell]
U1 0.3375 0.7500 0.8569 [2 per cell]
Be1 0.0804 0.2500 0.6059 [2 per cell]
Se1 0.1083 0.2500 0.8464 [2 per cell]
Se2 0.1705 0.7500 0.5284 [2 per cell]
Se3 0.4547 0.7500 0.1761 [2 per cell]



Record 2
Computed, not measured: a geometry-optimized HfAl2Re structure at the PBE level of DFT.

Properties
Total moment: 0.00 μB per atom
Polymorph energy (0 for the lowest one): 335 meV/atom
Calculated formation energy: 0.171 eV/atom

a b c (Å): 3.8783 3.8783 19.3597
angles (deg): 90.00 90.00 90.00
Space group I-42d (No. 122)
Asymmetric unit:
Hf1 0.0000 0.0000 0.0000 [4 per cell]
Al1 0.2351 0.2500 0.6250 [8 per cell]
Re1 0.0000 0.0000 0.5000 [4 per cell]



Record 3
Computed, not measured: a geometry-optimized LiDyScPt structure at the PBE level of DFT.

Properties
Total moment: 0.00 μB per atom
Calculated formation energy: -0.681 eV/atom

a b c (Å): 6.8321 6.8321 6.8321
angles (deg): 90.00 90.00 90.00
Space group F-43m (No. 216)
Asymmetric unit:
Li1 0.0000 0.0000 0.0000 [4 per cell]
Dy1 0.2500 0.2500 0.2500 [4 per cell]
Sc1 0.2500 0.2500 0.7500 [4 per cell]
Pt1 0.0000 0.0000 0.5000 [4 per cell]



Record 4
Computed, not measured: a geometry-optimized Rb2PbAu2 structure at the PBE level of DFT.

Properties
Total moment: 0.00 μB per atom
Polymorph energy (0 for the lowest one): 438 meV/atom
Calculated formation energy: 0.177 eV/atom

a b c (Å): 4.8652 4.8652 14.7165
angles (deg): 90.00 90.00 90.00
Space group I4/mmm (No. 139)
Asymmetric unit:
Rb1 0.0000 0.5000 0.2500 [4 per cell]
Pb1 0.0000 0.0000 0.0000 [2 per cell]
Au1 0.0000 0.0000 0.4080 [4 per cell]



Record 5
Computed, not measured: a geometry-optimized PuGa9Co3 structure at the PBE level of DFT.

Properties
Total moment: 0.43 μB per atom
Calculated formation energy: -0.236 eV/atom

a b c (Å): 5.1288 12.5254 6.6042
angles (deg): 90.00 111.01 90.00
Space group C2/m (No. 12)
Asymmetric unit:
Pu1 0.0000 0.0000 0.0000 [2 per cell]
Ga1 0.0000 0.0000 0.5000 [2 per cell]
Ga2 0.0914 0.3882 0.2098 [8 per cell]
Ga3 0.1713 0.1795 0.3316 [8 per cell]
Co1 0.0000 0.5000 0.5000 [2 per cell]
Co2 0.2500 0.2500 0.0000 [4 per cell]



Record 6
Computed, not measured: a geometry-optimized PrEuCl2 structure at the PBE level of DFT.

Properties
Total moment: 1.95 μB per atom
Uncorrected formation energy: -1440 meV per atom

a b c (Å): 3.8698 3.8698 28.7806
angles (deg): 90.00 90.00 120.00
Space group R-3m (No. 166, hexagonal axes)
Asymmetric unit:
Pr1 0.0000 0.0000 0.0000 [3 per cell]
Eu1 0.0000 0.0000 0.5000 [3 per cell]
Cl1 0.0000 0.0000 0.0999 [6 per cell]



Record 7
Computed, not measured: a geometry-optimized Pu2CdIr structure at the PBE level of DFT.

Properties
Total moment: 2.64 μB per atom
Polymorph energy (0 for the lowest one): 177 meV/atom
Calculated formation energy: -0.100 eV/atom

a b c (Å): 7.1431 7.1431 7.1431
angles (deg): 90.00 90.00 90.00
Space group Fm-3m (No. 225)
Asymmetric unit:
Pu1 0.2500 0.2500 0.2500 [8 per cell]
Cd1 0.0000 0.0000 0.0000 [4 per cell]
Ir1 0.0000 0.0000 0.5000 [4 per cell]



Record 8
Computed, not measured: a geometry-optimized Pr2SmHg structure at the PBE level of DFT.

Properties
Total moment: 0.00 μB per atom
Polymorph energy (0 for the lowest one): 154 meV/atom
Calculated formation energy: -0.069 eV/atom

a b c (Å): 7.8992 7.8992 7.8992
angles (deg): 90.00 90.00 90.00
Space group Fm-3m (No. 225)
Asymmetric unit:
Pr1 0.2500 0.2500 0.2500 [8 per cell]
Sm1 0.0000 0.0000 0.0000 [4 per cell]
Hg1 0.0000 0.0000 0.5000 [4 per cell]